No. 1
Ac6Rh4F (PBE-GGA, relaxed); uncorrected formation energy = -10.87 eV per formula unit
1.0
5.710 0.008 -2.154
-1.142 5.188 -3.009
0.953 -0.477 11.193
Ac Rh F
6 4 1
Direct
0.015 0.663 0.661
0.520 0.168 0.666
0.851 0.837 0.334
0.194 0.530 0.000
0.351 0.340 0.338
0.711 0.012 0.000
0.833 0.310 0.307
0.528 0.695 0.692
0.338 0.808 0.308
0.033 0.192 0.692
0.126 0.945 0.001

=====

No. 2
Ba2BiPb2 (PBE-GGA, relaxed); excess energy over the best structure of this formula in the dataset = 0.0 kJ per mole of atoms; ΔE_f = -0.5777 eV per atom
1.0
-0.022 -3.418 3.466
-0.463 -3.487 -3.442
8.420 1.167 1.205
Ba Bi Pb
2 1 2
Direct
0.500 0.619 0.239
0.500 0.381 0.761
0.000 0.000 0.000
0.000 0.195 0.390
0.000 0.805 0.610

=====

No. 3
Nd3Ho2Er6Th (PBE-GGA, relaxed); ΔE_f = 0.0206 eV per atom
1.0
-3.537 -0.918 -4.973
-1.382 -2.791 5.328
-4.957 10.273 2.905
Nd Ho Er Th
3 2 6 1
Direct
0.167 0.833 0.500
0.833 0.167 0.500
0.500 0.500 0.500
0.333 0.667 0.000
0.667 0.333 0.000
0.918 0.588 0.754
0.753 0.753 0.246
0.082 0.412 0.246
0.588 0.918 0.754
0.247 0.247 0.754
0.412 0.082 0.246
0.000 0.000 0.000

=====

No. 4
AcThIrBr (PBE-GGA, relaxed); uncorrected formation energy = -4.46 eV per formula unit
1.0
-1.324 -3.907 -1.113
1.558 0.693 3.917
-7.173 4.162 2.115
Ac Th Ir Br
1 1 1 1
Direct
0.508 0.152 0.676
0.093 0.945 0.053
0.317 0.556 0.889
0.959 0.378 0.352